Compound: SrTlP2O
Source: the Alexandria database
Functional: PBE-GGA
Structure: optimized geometry

Computed properties:
Magnetic moment = 1.007 μB/atom
Crystal system = tetragonal
E_form (uncorrected) = 434.9 meV/atom

a = 6.0407 Å, b = 6.0407 Å, c = 4.4986 Å
α = 90.00°, β = 90.00°, γ = 90.00°
Last column: nearest neighbours and their distance in Å.
Sites, in units of the cell vectors:
Sr 0.0000 0.0000 0.0000  2 O 2.25
Tl 0.5000 0.5000 0.5000  8 P 3.77
P 0.0000 0.5000 0.0000  2 Sr 3.02
P 0.5000 0.0000 0.0000  2 Sr 3.02
O 0.0000 0.0000 0.5000  2 Sr 2.25

Compound: Li2In2GeO6
Source: the Alexandria database
Functional: PBE-GGA
Structure: optimized geometry

Computed properties:
Magnetic moment = 0.000 μB/atom
Crystal system = monoclinic
E_form (uncorrected) = -1682.9 meV/atom

a = 5.4669 Å, b = 5.4669 Å, c = 5.2479 Å
α = 96.76°, β = 96.76°, γ = 120.46°
Last column: nearest neighbours and their distance in Å.
Sites, in units of the cell vectors:
Li 0.1362 0.8638 0.0000  4 O 2.04-2.15
Li 0.8638 0.1362 0.0000  4 O 2.04-2.15
In 0.3354 0.6646 0.5000  6 O 2.20-2.23
In 0.6646 0.3354 0.5000  6 O 2.20-2.23
Ge 0.0000 0.0000 0.5000  6 O 1.91-1.98
O 0.0428 0.3472 0.7142  1 Ge 1.98, 1 Li 2.04, 1 In 2.20
O 0.2382 0.2382 0.2833  1 Ge 1.91
O 0.3472 0.0428 0.7142  1 Ge 1.98, 1 Li 2.04, 1 In 2.20
O 0.6528 0.9572 0.2858  1 Ge 1.98, 1 Li 2.04, 1 In 2.20
O 0.7618 0.7618 0.7167  1 Ge 1.91
O 0.9572 0.6528 0.2858  1 Ge 1.98, 1 Li 2.04, 1 In 2.20

Compound: Dy4YTm3
Source: the Alexandria database
Functional: PBE-GGA
Structure: optimized geometry

Computed properties:
Magnetic moment = 0.000 μB/atom
Crystal system = orthorhombic

a = 13.2047 Å, b = 13.2047 Å, c = 3.5555 Å
α = 90.00°, β = 90.00°, γ = 155.61°
Last column: nearest neighbours and their distance in Å.
Sites, in units of the cell vectors:
Dy 0.1040 0.8960 0.0000  1 Dy 3.08, 2 Y 3.22
Dy 0.2234 0.7766 0.0000  3 Dy 3.08-3.11
Dy 0.7766 0.2234 0.0000  3 Dy 3.08-3.11
Dy 0.8960 0.1040 0.0000  1 Dy 3.08, 2 Y 3.22
Y 0.0000 0.0000 0.5000  4 Dy 3.22, 4 Tm 3.31, 2 Y 3.56
Tm 0.3450 0.6550 0.5000  2 Tm 3.56, 10 Dy 3.56-3.75
Tm 0.5000 0.5000 0.0000  4 Y 3.31, 2 Tm 3.56
Tm 0.6550 0.3450 0.5000  2 Tm 3.56, 10 Dy 3.56-3.75

The records above yield total DFT energy (no corrections) values of -3.530 -5.653 -4.566 eV per atom, respectively.